The following is a DFT calculation (PBE) of a relaxed TcRu2Se crystal.

Properties
**SG**: No. 35
**Calculated total energy**: -7.465 eV per atom

Geometry as CIF:
```
data_TcRu2Se
_chemical_formula_sum 'Tc1 Ru2 Se1'
_cell_length_a 2.7632
_cell_length_b 2.7632
_cell_length_c 9.1328
_cell_angle_alpha 90.00
_cell_angle_beta 90.00
_cell_angle_gamma 118.36
_space_group_name_H-M_alt 'P 1'
_space_group_IT_number 1
_space_group_name_Hall 'P 1'
loop_
_atom_site_label
_atom_site_fract_x
_atom_site_fract_y
_atom_site_fract_z
_atom_site_occupancy
Tc1 0.0000 0.0000 0.0000 1
Ru1 0.0000 0.0000 0.5151 1
Ru2 0.5000 0.5000 0.7635 1
Se1 0.5000 0.5000 0.2708 1
```